Record 1
TaAlTe | OQMD | PBE | optimized geometry; electronic total energy = -66.03 eV per cell; SG = F-43m (216)
1.0
6.507 0.000 0.000
0.000 6.507 0.000
0.000 0.000 6.507
Ta Al Te
4 4 4
direct
0.000 0.000 0.000 Ta
0.000 0.500 0.500 Ta
0.500 0.000 0.500 Ta
0.500 0.500 0.000 Ta
0.000 0.000 0.500 Al
0.000 0.500 0.000 Al
0.500 0.000 0.000 Al
0.500 0.500 0.500 Al
0.250 0.250 0.250 Te
0.250 0.750 0.750 Te
0.750 0.250 0.750 Te
0.750 0.750 0.250 Te


Record 2
YGaFeNi | OQMD | PBE | optimized geometry; electronic total energy = -94.28 eV per cell; SG = F-43m (216)
1.0
6.443 0.000 0.000
0.000 6.443 0.000
0.000 0.000 6.443
Y Ga Fe Ni
4 4 4 4
direct
0.000 0.000 0.000 Y
0.000 0.500 0.500 Y
0.500 0.000 0.500 Y
0.500 0.500 0.000 Y
0.250 0.250 0.250 Ga
0.250 0.750 0.750 Ga
0.750 0.250 0.750 Ga
0.750 0.750 0.250 Ga
0.000 0.000 0.500 Fe
0.000 0.500 0.000 Fe
0.500 0.000 0.000 Fe
0.500 0.500 0.500 Fe
0.250 0.250 0.750 Ni
0.250 0.750 0.250 Ni
0.750 0.250 0.250 Ni
0.750 0.750 0.750 Ni


Record 3
CsAlCd | OQMD | PBE | optimized geometry; electronic total energy = -15.47 eV per cell; SG = F-43m (216)
1.0
7.892 0.000 0.000
0.000 7.892 0.000
0.000 0.000 7.892
Cs Al Cd
4 4 4
direct
0.000 0.000 0.000 Cs
0.000 0.500 0.500 Cs
0.500 0.000 0.500 Cs
0.500 0.500 0.000 Cs
0.250 0.250 0.750 Al
0.250 0.750 0.250 Al
0.750 0.250 0.250 Al
0.750 0.750 0.750 Al
0.000 0.000 0.500 Cd
0.000 0.500 0.000 Cd
0.500 0.000 0.000 Cd
0.500 0.500 0.500 Cd


Record 4
CdAgSb | OQMD | PBE | optimized geometry; electronic total energy = -30.36 eV per cell; SG = Pnma (62)
1.0
6.764 0.000 0.000
0.000 4.405 0.000
0.000 0.000 9.063
Cd Ag Sb
4 4 4
direct
0.122 0.250 0.077 Cd
0.378 0.750 0.577 Cd
0.622 0.250 0.423 Cd
0.878 0.750 0.923 Cd
0.130 0.250 0.745 Ag
0.370 0.750 0.245 Ag
0.630 0.250 0.755 Ag
0.870 0.750 0.255 Ag
0.147 0.250 0.404 Sb
0.353 0.750 0.904 Sb
0.647 0.250 0.096 Sb
0.853 0.750 0.596 Sb